# CaFeAuO2 | the Alexandria database | PBE+U | relaxed
# Size of the total moment   5.7 μB per formula unit
# Raw total energy   -4.17 eV/atom
data_CaFeAuO2
_chemical_formula_sum 'Ca1 Fe1 Au1 O2'
_cell_length_a 4.1825
_cell_length_b 4.1825
_cell_length_c 6.8882
_cell_angle_alpha 90.00
_cell_angle_beta 90.00
_cell_angle_gamma 90.00
_symmetry_space_group_name_H-M 'P 4/m m m'
_symmetry_Int_Tables_number 123
_symmetry_space_group_name_Hall '-P 4 2'
loop_
_atom_site_label
_atom_site_type_symbol
_atom_site_fract_x
_atom_site_fract_y
_atom_site_fract_z
Ca1 Ca 0.0000 0.0000 0.0000
Fe1 Fe 0.0000 0.0000 0.5000
Au1 Au 0.5000 0.5000 0.5000
O1 O 0.0000 0.5000 0.0000